No. 1
First-principles (PBE) data for crystalline La4ZnIr at its relaxed geometry, as listed in Alexandria via LeMat-Bulk.

Cell: 14.1501 14.1501 14.1501 Å, 90.00 90.00 90.00°
Closest atoms and distances in Å follow each position.
Space group F-43m (No. 216)
Unique sites:
La1 0.0000 0.0000 0.1898 [24 per cell]  2 Zn 3.44, 10 La 3.59-3.80, 2 Ir 3.59
La2 0.0565 0.2500 0.2500 [24 per cell]  2 Ir 2.92
La3 0.1001 0.1001 0.6001 [16 per cell]  3 Ir 2.96
Zn1 0.1716 0.1716 0.8284 [16 per cell]  3 Zn 3.14, 3 La 3.44
Ir1 0.1088 0.1088 0.3912 [16 per cell]  6 La 2.92-2.96

E above lowest polymorph	0.000	eV/atom
calculated formation energy	-0.423	eV/atom
mass density	7.626	g/cm3
final energy	-5.397	eV per atom

=====

No. 2
First-principles (PBE) data for crystalline LaZn2Ir at its relaxed geometry, as listed in Alexandria via LeMat-Bulk.

Cell: 3.2187 3.2187 7.2874 Å, 90.00 90.00 90.00°
Closest atoms and distances in Å follow each position.
Space group P4/mmm (No. 123)
Unique sites:
La1 0.0000 0.0000 0.0000 [1 per cell]  4 La 3.22, 8 Zn 3.22
Zn1 0.5000 0.5000 0.3134 [2 per cell]  4 Ir 2.65, 1 Zn 2.72
Ir1 0.0000 0.0000 0.5000 [1 per cell]  8 Zn 2.65

calculated formation energy	-0.208	eV/atom
mass density	10.160	g/cm3
final energy	-4.292	eV per atom

=====

No. 3
First-principles (PBE) data for crystalline LaZn2Ir at its relaxed geometry, as listed in Alexandria via LeMat-Bulk.

Cell: 4.8143 4.8143 6.8565 Å, 90.00 90.00 90.00°
Closest atoms and distances in Å follow each position.
Space group I-4m2 (No. 119)
Unique sites:
La1 0.0000 0.0000 0.0000 [2 per cell]  4 Ir 2.96, 4 Zn 2.96
Zn1 0.0000 0.0000 0.5000 [2 per cell]  4 Ir 2.96, 4 Zn 2.96
Zn2 0.0000 0.5000 0.7500 [2 per cell]  4 La 2.96, 4 Zn 2.96
Ir1 0.0000 0.5000 0.2500 [2 per cell]  4 La 2.96, 4 Zn 2.96

calculated formation energy	-0.198	eV/atom
mass density	9.654	g/cm3
final energy	-4.282	eV per atom

=====

No. 4
First-principles (PBE) data for crystalline LaZnIr2 at its relaxed geometry, as listed in Alexandria via LeMat-Bulk.

Cell: 3.0585 4.5836 5.4372 Å, 90.00 103.11 90.00°
Closest atoms and distances in Å follow each position.
Space group Pm (No. 6)
Unique sites:
La1 0.0000 0.0000 0.0000 [1 per cell]  2 Ir 2.70-2.92
Zn1 0.5899 0.5000 0.2658 [1 per cell]  4 Ir 2.57-2.64
Ir1 0.2327 0.5000 0.6625 [1 per cell]  2 Zn 2.57-2.63, 2 Ir 2.75
Ir2 0.5860 0.0000 0.5051 [1 per cell]  2 Zn 2.64, 2 La 2.70-2.92, 2 Ir 2.75

calculated formation energy	-0.140	eV/atom
mass density	13.169	g/cm3
final energy	-6.121	eV per atom

=====

No. 5
First-principles (PBE) data for crystalline LaZnIr2 at its relaxed geometry, as listed in Alexandria via LeMat-Bulk.

Cell: 4.6885 4.6885 17.1824 Å, 90.00 90.00 90.00°
Closest atoms and distances in Å follow each position.
Space group I-42d (No. 122)
Unique sites:
La1 0.0000 0.0000 0.0000 [4 per cell]  4 Ir 3.13, 4 Zn 3.32
Zn1 0.0000 0.0000 0.5000 [4 per cell]  4 Ir 2.48
Ir1 0.0835 0.2500 0.6250 [8 per cell]  2 Ir 2.47, 2 Zn 2.48

calculated formation energy	-0.166	eV/atom
mass density	10.353	g/cm3
final energy	-6.146	eV per atom

=====

No. 6
First-principles (PBE) data for crystalline LaZnIr2 at its relaxed geometry, as listed in Alexandria via LeMat-Bulk.

Cell: 6.7094 6.7094 6.7094 Å, 90.00 90.00 90.00°
Closest atoms and distances in Å follow each position.
Space group F-43m (No. 216)
Unique sites:
La1 0.0000 0.0000 0.0000 [4 per cell]  4 Ir 2.91, 4 Zn 2.91
Zn1 0.2500 0.2500 0.7500 [4 per cell]  4 La 2.91, 4 Ir 2.91
Ir1 0.0000 0.0000 0.5000 [4 per cell]  4 Ir 2.91, 4 Zn 2.91
Ir2 0.2500 0.2500 0.2500 [4 per cell]  4 La 2.91, 4 Ir 2.91

calculated formation energy	0.040	eV/atom
mass density	12.948	g/cm3
final energy	-5.941	eV per atom

=====

Among the records above, which one has the lowest final energy?
number 5

=====

Which of these has the lowest mass density?
La4ZnIr

=====

Among the records above, which one has the lowest calculated formation energy?
La4ZnIr